# Pr2Ge2Pd3Pt, relaxed, DFT PBE-GGA
data_Pr2Ge2Pd3Pt
_chemical_formula_sum 'Pr2 Ge2 Pd3 Pt1'
_symmetry_space_group_name_H-M 'P 1'
_symmetry_Int_Tables_number 1
_cell_length_a 4.444
_cell_length_b 4.444
_cell_length_c 9.544
_cell_angle_alpha 90.00
_cell_angle_beta 90.00
_cell_angle_gamma 120.00
loop_
_symmetry_equiv_pos_as_xyz
'x,y,z'
loop_
_atom_site_label
_atom_site_fract_x
_atom_site_fract_y
_atom_site_fract_z
Pt1 0.000 0.000 0.072
Ge1 0.333 0.667 0.501
Pr1 0.000 0.000 0.750
Ge2 0.333 0.667 0.005
Pd1 0.667 0.333 0.573
Pd2 0.000 0.000 0.429
Pr2 0.667 0.333 0.248
Pd3 0.667 0.333 0.922
# Symmetry: P3m1 (156)
# VASP energy (eV/cell): -46.78

***

# BaPuTa, relaxed, DFT PBE-GGA
data_BaPuTa
_chemical_formula_sum 'Ba1 Pu1 Ta1'
_symmetry_space_group_name_H-M 'P 1'
_symmetry_Int_Tables_number 1
_cell_length_a 4.916
_cell_length_b 4.916
_cell_length_c 4.916
_cell_angle_alpha 60.00
_cell_angle_beta 60.00
_cell_angle_gamma 60.00
loop_
_symmetry_equiv_pos_as_xyz
'x,y,z'
loop_
_atom_site_label
_atom_site_fract_x
_atom_site_fract_y
_atom_site_fract_z
Pu1 0.000 0.000 0.000
Ta1 0.250 0.250 0.250
Ba1 0.750 0.750 0.750
# Symmetry: F-43m (216)
# VASP energy (eV/cell): -22.81

***

# PrCoGe2, relaxed, DFT PBE-GGA
data_PrCoGe2
_chemical_formula_sum 'Pr2 Co2 Ge4'
_symmetry_space_group_name_H-M 'P 1'
_symmetry_Int_Tables_number 1
_cell_length_a 4.249
_cell_length_b 4.287
_cell_length_c 8.599
_cell_angle_alpha 75.56
_cell_angle_beta 90.00
_cell_angle_gamma 90.00
loop_
_symmetry_equiv_pos_as_xyz
'x,y,z'
loop_
_atom_site_label
_atom_site_fract_x
_atom_site_fract_y
_atom_site_fract_z
Ge1 0.750 0.454 0.092
Pr1 0.750 0.108 0.785
Ge2 0.250 0.250 0.500
Co1 0.250 0.684 0.631
Pr2 0.250 0.892 0.215
Ge3 0.250 0.546 0.908
Ge4 0.750 0.750 0.500
Co2 0.750 0.316 0.369
# Symmetry: Cmcm (63)
# VASP energy (eV/cell): -47.53

***

# Pr3GaAu4, relaxed, DFT PBE-GGA
data_Pr3GaAu4
_chemical_formula_sum 'Pr3 Ga1 Au4'
_symmetry_space_group_name_H-M 'P 1'
_symmetry_Int_Tables_number 1
_cell_length_a 5.784
_cell_length_b 4.743
_cell_length_c 7.326
_cell_angle_alpha 90.00
_cell_angle_beta 90.42
_cell_angle_gamma 90.00
loop_
_symmetry_equiv_pos_as_xyz
'x,y,z'
loop_
_atom_site_label
_atom_site_fract_x
_atom_site_fract_y
_atom_site_fract_z
Pr1 0.361 0.500 0.178
Au1 0.653 0.500 0.550
Au2 0.347 0.000 0.469
Ga1 0.636 0.000 0.821
Au3 0.843 0.500 0.029
Pr2 0.854 0.000 0.313
Pr3 0.144 0.500 0.688
Au4 0.162 0.000 0.952
# Symmetry: Pm (6)
# VASP energy (eV/cell): -35.62

***

# HoPSe2S2, relaxed, DFT PBE-GGA
data_HoPSe2S2
_chemical_formula_sum 'Ho2 P2 Se4 S4'
_symmetry_space_group_name_H-M 'P 1'
_symmetry_Int_Tables_number 1
_cell_length_a 6.521
_cell_length_b 6.786
_cell_length_c 7.718
_cell_angle_alpha 88.06
_cell_angle_beta 86.86
_cell_angle_gamma 84.34
loop_
_symmetry_equiv_pos_as_xyz
'x,y,z'
loop_
_atom_site_label
_atom_site_fract_x
_atom_site_fract_y
_atom_site_fract_z
S1 0.900 0.497 0.232
Ho1 0.202 0.708 0.057
Se1 0.885 0.989 0.227
P1 0.309 0.258 0.816
Ho2 0.798 0.292 0.943
Se2 0.115 0.011 0.773
Se3 0.378 0.273 0.097
P2 0.691 0.742 0.184
S2 0.570 0.247 0.665
S3 0.100 0.503 0.768
Se4 0.622 0.727 0.903
S4 0.430 0.753 0.335
# Symmetry: P-1 (2)
# Energy relative to the lowest polymorph listed for this composition (eV/atom): 0.000

***

# CdH8C2Br3N, relaxed, DFT PBE-GGA
data_CdH8C2Br3N
_chemical_formula_sum 'Cd4 H32 C8 Br12 N4'
_symmetry_space_group_name_H-M 'P 1'
_symmetry_Int_Tables_number 1
_cell_length_a 9.001
_cell_length_b 13.550
_cell_length_c 7.046
_cell_angle_alpha 90.00
_cell_angle_beta 98.54
_cell_angle_gamma 90.00
loop_
_symmetry_equiv_pos_as_xyz
'x,y,z'
loop_
_atom_site_label
_atom_site_fract_x
_atom_site_fract_y
_atom_site_fract_z
Br1 0.582 0.158 0.196
C1 0.647 0.891 0.383
N1 0.775 0.557 0.816
H1 0.872 0.572 0.912
H2 0.661 0.811 0.366
C2 0.647 0.609 0.883
Br2 0.791 0.407 0.230
H3 0.756 0.019 0.319
Br3 0.005 0.337 0.792
H4 0.115 0.037 0.926
H5 0.115 0.463 0.426
H6 0.354 0.091 0.466
H7 0.542 0.915 0.296
H8 0.339 0.189 0.634
Cd1 0.213 0.746 0.514
H9 0.885 0.963 0.074
Cd2 0.787 0.246 0.986
C3 0.202 0.085 0.882
H10 0.885 0.537 0.574
C4 0.798 0.585 0.618
H11 0.244 0.519 0.181
H12 0.692 0.924 0.022
H13 0.646 0.591 0.034
Br4 0.005 0.163 0.292
H14 0.692 0.576 0.522
H15 0.128 0.428 0.088
C5 0.353 0.109 0.617
H16 0.165 0.162 0.880
N2 0.225 0.057 0.684
H17 0.354 0.409 0.966
H18 0.458 0.415 0.204
H19 0.308 0.424 0.478
H20 0.165 0.338 0.380
Br5 0.418 0.842 0.804
H21 0.308 0.076 0.978
Br6 0.995 0.663 0.208
Br7 0.995 0.837 0.708
N3 0.775 0.943 0.316
H22 0.339 0.311 0.134
C6 0.798 0.915 0.118
Cd3 0.787 0.254 0.486
H23 0.756 0.481 0.819
N4 0.225 0.443 0.184
C7 0.202 0.415 0.382
Cd4 0.213 0.754 0.014
H24 0.244 0.981 0.681
H25 0.542 0.585 0.796
H26 0.458 0.085 0.704
Br8 0.582 0.342 0.696
Br9 0.209 0.907 0.270
Br10 0.418 0.658 0.304
Br11 0.209 0.593 0.770
H27 0.646 0.909 0.534
C8 0.353 0.391 0.117
H28 0.835 0.662 0.620
Br12 0.791 0.093 0.730
H29 0.835 0.838 0.120
H30 0.661 0.689 0.866
H31 0.128 0.072 0.588
H32 0.872 0.928 0.412
# Symmetry: P2_1/c (14)
# VASP energy (eV/cell): -263.93

***

# DySi2Tc2, relaxed, DFT PBE-GGA
data_DySi2Tc2
_chemical_formula_sum 'Dy2 Si4 Tc4'
_symmetry_space_group_name_H-M 'P 1'
_symmetry_Int_Tables_number 1
_cell_length_a 10.727
_cell_length_b 10.727
_cell_length_c 10.727
_cell_angle_alpha 158.10
_cell_angle_beta 157.96
_cell_angle_gamma 31.27
loop_
_symmetry_equiv_pos_as_xyz
'x,y,z'
loop_
_atom_site_label
_atom_site_fract_x
_atom_site_fract_y
_atom_site_fract_z
Tc1 0.710 0.460 0.250
Dy1 0.414 0.164 0.250
Dy2 0.586 0.836 0.750
Tc2 0.290 0.540 0.750
Si1 0.972 0.722 0.250
Si2 0.028 0.278 0.750
Si3 0.857 0.607 0.250
Si4 0.143 0.393 0.750
Tc3 0.212 0.962 0.250
Tc4 0.788 0.038 0.750
# Symmetry: Imma (74)
# Energy relative to the lowest polymorph listed for this composition (eV/atom): 0.043

***

# NaTl2Pd2, relaxed, DFT PBE-GGA
data_NaTl2Pd2
_chemical_formula_sum 'Na2 Tl4 Pd4'
_symmetry_space_group_name_H-M 'P 1'
_symmetry_Int_Tables_number 1
_cell_length_a 7.939
_cell_length_b 7.939
_cell_length_c 3.320
_cell_angle_alpha 90.00
_cell_angle_beta 90.00
_cell_angle_gamma 90.00
loop_
_symmetry_equiv_pos_as_xyz
'x,y,z'
loop_
_atom_site_label
_atom_site_fract_x
_atom_site_fract_y
_atom_site_fract_z
Pd1 0.867 0.633 0.000
Tl1 0.836 0.336 0.500
Tl2 0.164 0.664 0.500
Pd2 0.133 0.367 0.000
Na1 0.500 0.500 0.000
Tl3 0.664 0.836 0.500
Pd3 0.633 0.133 0.000
Pd4 0.367 0.867 0.000
Tl4 0.336 0.164 0.500
Na2 0.000 0.000 0.000
# Symmetry: P4/mbm (127)
# Energy relative to the lowest polymorph listed for this composition (eV/atom): 0.000

***

# Na4CdCuSn2, relaxed, DFT PBE-GGA
data_Na4CdCuSn2
_chemical_formula_sum 'Na4 Cd1 Cu1 Sn2'
_symmetry_space_group_name_H-M 'P 1'
_symmetry_Int_Tables_number 1
_cell_length_a 4.973
_cell_length_b 4.973
_cell_length_c 7.128
_cell_angle_alpha 90.00
_cell_angle_beta 90.00
_cell_angle_gamma 90.00
loop_
_symmetry_equiv_pos_as_xyz
'x,y,z'
loop_
_atom_site_label
_atom_site_fract_x
_atom_site_fract_y
_atom_site_fract_z
Na1 0.000 0.500 0.736
Na2 0.500 0.000 0.264
Na3 0.000 0.000 0.500
Cd1 0.000 0.000 0.000
Na4 0.500 0.500 0.000
Sn1 0.000 0.500 0.264
Sn2 0.500 0.000 0.736
Cu1 0.500 0.500 0.500
# Symmetry: P-4m2 (115)
# VASP energy (eV/cell): -18.67

***

# TaF, relaxed, DFT PBE-GGA
data_TaF
_chemical_formula_sum 'Ta1 F1'
_symmetry_space_group_name_H-M 'P 1'
_symmetry_Int_Tables_number 1
_cell_length_a 2.757
_cell_length_b 2.757
_cell_length_c 4.094
_cell_angle_alpha 90.00
_cell_angle_beta 90.00
_cell_angle_gamma 120.00
loop_
_symmetry_equiv_pos_as_xyz
'x,y,z'
loop_
_atom_site_label
_atom_site_fract_x
_atom_site_fract_y
_atom_site_fract_z
Ta1 0.333 0.667 0.250
F1 0.667 0.333 0.750
# Symmetry: P-6m2 (187)
# Energy relative to the lowest polymorph listed for this composition (eV/atom): 0.000

***

# SrGaAu, relaxed, DFT PBE-GGA
data_SrGaAu
_chemical_formula_sum 'Sr1 Ga1 Au1'
_symmetry_space_group_name_H-M 'P 1'
_symmetry_Int_Tables_number 1
_cell_length_a 4.953
_cell_length_b 4.953
_cell_length_c 4.953
_cell_angle_alpha 60.00
_cell_angle_beta 60.00
_cell_angle_gamma 60.00
loop_
_symmetry_equiv_pos_as_xyz
'x,y,z'
loop_
_atom_site_label
_atom_site_fract_x
_atom_site_fract_y
_atom_site_fract_z
Ga1 0.250 0.250 0.250
Sr1 0.750 0.750 0.750
Au1 0.000 0.000 0.000
# Symmetry: F-43m (216)
# VASP energy (eV/cell): -9.23

***

Number 1: V 20.4 Å³/atom. Number 2: V 28.0 Å³/atom. Number 3: V 19.0 Å³/atom. Number 4: V 25.1 Å³/atom. Number 5: V 28.3 Å³/atom. Number 6: V 14.2 Å³/atom. Number 7: V 17.3 Å³/atom. Number 8: V 20.9 Å³/atom. Number 9: V 22.0 Å³/atom. Number 10: V 13.5 Å³/atom. Number 11: V 28.6 Å³/atom.